Here is a relaxed structure of CuPtSe3 from Alexandria. Energies are from PBE.

a b c (Å): 4.987 4.987 4.987
angles (deg): 90.00 90.00 90.00
Element x y z (fractional)
Cu  0.000  0.000  0.000
Pt  0.500  0.500  0.500
Se  0.000  0.500  0.500
Se  0.500  0.000  0.500
Se  0.500  0.500  0.000

Size of the total moment   0.2893 μB per atom
Theoretical density   6633 kg/m³
Energy   -3.39 eV per atom
Energy above the lowest structure with this stoichiometry   0.963 eV/atom
Formation energy from raw total energies   70.14 kJ per mole of atoms


Here is a relaxed structure of Ce3SnAu4 from Alexandria. Energies are from PBE.

a b c (Å): 8.479 8.479 8.479
angles (deg): 153.11 129.12 58.47
Element x y z (fractional)
Ce  0.000  0.000  0.000
Ce  0.318  0.818  0.500
Ce  0.682  0.182  0.500
Sn  0.500  0.500  0.000
Au  0.058  0.363  0.694
Au  0.331  0.637  0.694
Au  0.669  0.363  0.306
Au  0.942  0.637  0.306

Size of the total moment   0.3201 μB per atom
Theoretical density   10369 kg/m³
Energy   -4.91 eV per atom
Energy of formation from the pure elements   -0.547 eV per atom


Here is a relaxed structure of LaCeDy from Alexandria. Energies are from PBE.

a b c (Å): 3.594 6.198 8.873
angles (deg): 103.34 90.01 90.05
Element x y z (fractional)
La  0.249  0.480  0.183
La  0.751  0.520  0.817
Ce  0.249  0.241  0.497
Ce  0.751  0.759  0.503
Dy  0.251  0.026  0.828
Dy  0.749  0.974  0.172

Size of the total moment   0.0695 μB per atom
Theoretical density   7625 kg/m³
Energy   -5.10 eV per atom
Energy above the lowest structure with this stoichiometry   0.000 eV/atom
Energy of formation from the pure elements   0.059 eV per atom


Here is a relaxed structure of LaNd6 from Alexandria. Energies are from PBE.

a b c (Å): 6.730 6.730 11.364
angles (deg): 90.00 90.00 90.00
Element x y z (fractional)
La  0.250  0.750  0.000
La  0.750  0.250  0.000
Nd  0.082  0.582  0.362
Nd  0.082  0.918  0.638
Nd  0.250  0.250  0.139
Nd  0.250  0.250  0.861
Nd  0.418  0.582  0.638
Nd  0.418  0.918  0.362
Nd  0.582  0.082  0.638
Nd  0.582  0.418  0.362
Nd  0.750  0.750  0.139
Nd  0.750  0.750  0.861
Nd  0.918  0.082  0.362
Nd  0.918  0.418  0.638

Size of the total moment   0.0000 μB per atom
Theoretical density   6481 kg/m³
Energy   -4.57 eV per atom
Energy above the lowest structure with this stoichiometry   0.000 eV/atom
Energy of formation from the pure elements   0.218 eV per atom


Here is a relaxed structure of ScTaPt from Alexandria. Energies are from PBE.

a b c (Å): 3.287 4.439 7.786
angles (deg): 90.00 90.00 90.00
Element x y z (fractional)
Sc  0.250  0.250  0.145
Sc  0.750  0.750  0.855
Ta  0.250  0.750  0.489
Ta  0.750  0.250  0.511
Pt  0.250  0.250  0.783
Pt  0.750  0.750  0.217

Size of the total moment   0.0000 μB per atom
Theoretical density   12305 kg/m³
Energy   -8.77 eV per atom
Energy above the lowest structure with this stoichiometry   0.000 eV/atom
Energy of formation from the pure elements   -0.695 eV per atom


Here is a relaxed structure of Ho4SnGe2 from Alexandria. Energies are from PBE.

a b c (Å): 9.327 8.059 8.049
angles (deg): 70.77 54.66 54.57
Element x y z (fractional)
Ho  0.133  0.298  0.298
Ho  0.229  0.702  0.702
Ho  0.298  0.133  0.771
Ho  0.298  0.771  0.133
Ho  0.702  0.229  0.867
Ho  0.702  0.867  0.229
Ho  0.771  0.298  0.298
Ho  0.867  0.702  0.702
Sn  0.375  0.375  0.375
Sn  0.625  0.625  0.625
Ge  0.000  0.000  0.000
Ge  0.000  0.000  0.500
Ge  0.000  0.500  0.000
Ge  0.500  0.000  0.000

Size of the total moment   0.0000 μB per atom
Theoretical density   7628 kg/m³
Energy   -5.12 eV per atom
Energy of formation from the pure elements   -0.610 eV per atom


Here is a relaxed structure of Pm3GaPt2 from Alexandria. Energies are from PBE.

a b c (Å): 7.121 7.121 7.761
angles (deg): 102.11 102.11 54.11
Element x y z (fractional)
Pm  0.137  0.863  0.750
Pm  0.274  0.345  0.918
Pm  0.345  0.274  0.418
Pm  0.655  0.726  0.582
Pm  0.726  0.655  0.082
Pm  0.863  0.137  0.250
Ga  0.343  0.657  0.250
Ga  0.657  0.343  0.750
Pt  0.034  0.252  0.610
Pt  0.252  0.034  0.110
Pt  0.748  0.966  0.890
Pt  0.966  0.748  0.390

Size of the total moment   0.0000 μB per atom
Theoretical density   9591 kg/m³
Energy   -5.70 eV per atom
Energy above the lowest structure with this stoichiometry   0.109 eV/atom
Energy of formation from the pure elements   -0.810 eV per atom


Here is a relaxed structure of Re2PtRh7 from Alexandria. Energies are from PBE.

a b c (Å): 7.347 7.347 4.038
angles (deg): 90.00 90.00 123.25
Element x y z (fractional)
Re  0.197  0.803  0.000
Re  0.803  0.197  0.000
Pt  0.500  0.500  0.500
Rh  0.000  0.000  0.000
Rh  0.202  0.420  0.000
Rh  0.297  0.703  0.500
Rh  0.420  0.202  0.000
Rh  0.580  0.798  0.000
Rh  0.703  0.297  0.500
Rh  0.798  0.580  0.000

Size of the total moment   0.0000 μB per atom
Theoretical density   11734 kg/m³
Energy   -7.57 eV per atom
Energy of formation from the pure elements   0.667 eV per atom


| no. | N(E_F) (states/eV/atom) |
| --- | --- |
| 1 | 1.31 |
| 2 | 2.42 |
| 3 | 1.83 |
| 4 | 1.41 |
| 5 | 0.73 |
| 6 | 0.63 |
| 7 | 0.61 |
| 8 | 1.56 |